Record 1
# ReRhS2N | the Alexandria database | PBE | relaxed
data_ReRhS2N
_cell_length_a 4.818
_cell_length_b 4.818
_cell_length_c 3.593
_cell_angle_alpha 90.00
_cell_angle_beta 90.00
_cell_angle_gamma 90.00
_symmetry_space_group_name_H-M 'P 4/m m m'
_symmetry_Int_Tables_number 123
_symmetry_space_group_name_Hall '-P 4 2'
loop_
_atom_site_label
_atom_site_fract_x
_atom_site_fract_y
_atom_site_fract_z
_atom_site_occupancy
Re1 0.000 0.000 0.000 1
Rh1 0.500 0.500 0.500 1
S1 0.000 0.500 0.500 1
N1 0.500 0.500 0.000 1
# V (Å³/f.u.): 83.4
# Energy relative to the lowest polymorph listed for this composition (meV/atom): 591
# E_form (uncorrected) (eV per atom): 1.249
# Energy (eV per cell): -30.1

***

Record 2
# Zr4Ru2Rh | the Alexandria database | PBE | relaxed
data_Zr4Ru2Rh
_cell_length_a 4.5986
_cell_length_b 4.5986
_cell_length_c 22.4404
_cell_angle_alpha 90.00
_cell_angle_beta 90.00
_cell_angle_gamma 120.00
_symmetry_space_group_name_H-M 'R -3 m'
_symmetry_Int_Tables_number 166
_symmetry_space_group_name_Hall '-R 3 2"'
loop_
_atom_site_label
_atom_site_fract_x
_atom_site_fract_y
_atom_site_fract_z
_atom_site_occupancy
Zr1 0.0000 0.0000 0.1211 1
Zr2 0.0000 0.0000 0.3716 1
Ru1 0.0000 0.0000 0.2483 1
Rh1 0.0000 0.0000 0.5000 1
# V (Å³/f.u.): 137.0
# Energy (eV per cell): -191.5

***

Record 3
# Tb2NdYN4 | the Alexandria database | PBE | relaxed
data_Tb2NdYN4
_cell_length_a 6.120
_cell_length_b 3.534
_cell_length_c 6.120
_cell_angle_alpha 90.00
_cell_angle_beta 109.43
_cell_angle_gamma 90.00
_symmetry_space_group_name_H-M 'P 1 2/m 1'
_symmetry_Int_Tables_number 10
_symmetry_space_group_name_Hall '-P 2y'
loop_
_atom_site_label
_atom_site_fract_x
_atom_site_fract_y
_atom_site_fract_z
_atom_site_occupancy
Tb1 0.000 0.000 0.000 1
Tb2 0.000 0.500 0.500 1
Nd1 0.500 0.000 0.500 1
Y1 0.500 0.500 0.000 1
N1 0.244 0.500 0.243 1
N2 0.247 0.000 0.753 1
# V (Å³/f.u.): 124.8
# E_form (uncorrected) (eV per atom): -1.577
# Energy (eV per cell): -66.4

***

Record 4
# ZnBr | the Alexandria database | PBE | relaxed
data_ZnBr
_cell_length_a 7.723
_cell_length_b 7.956
_cell_length_c 15.968
_cell_angle_alpha 90.00
_cell_angle_beta 90.00
_cell_angle_gamma 90.00
_symmetry_space_group_name_H-M 'F d d d'
_symmetry_Int_Tables_number 70
loop_
_symmetry_equiv_pos_as_xyz
'x,y,z'
'-x,-y,-z'
'-x+1/4,-y+1/4,z'
'x+1/4,y+1/4,-z'
'x,-y+1/4,-z+1/4'
'-x,y+1/4,z+1/4'
'-x+1/4,y,-z+1/4'
'x+1/4,-y,z+1/4'
'x,y+1/2,z+1/2'
'-x,-y+1/2,-z+1/2'
'-x+1/4,-y+3/4,z+1/2'
'x+1/4,y+3/4,-z+1/2'
'x,-y+3/4,-z+3/4'
'-x,y+3/4,z+3/4'
'-x+1/4,y+1/2,-z+3/4'
'x+1/4,-y+1/2,z+3/4'
'x+1/2,y,z+1/2'
'-x+1/2,-y,-z+1/2'
'-x+3/4,-y+1/4,z+1/2'
'x+3/4,y+1/4,-z+1/2'
'x+1/2,-y+1/4,-z+3/4'
'-x+1/2,y+1/4,z+3/4'
'-x+3/4,y,-z+3/4'
'x+3/4,-y,z+3/4'
'x+1/2,y+1/2,z'
'-x+1/2,-y+1/2,-z'
'-x+3/4,-y+3/4,z'
'x+3/4,y+3/4,-z'
'x+1/2,-y+3/4,-z+1/4'
'-x+1/2,y+3/4,z+1/4'
'-x+3/4,y+1/2,-z+1/4'
'x+3/4,-y+1/2,z+1/4'
loop_
_atom_site_label
_atom_site_fract_x
_atom_site_fract_y
_atom_site_fract_z
_atom_site_occupancy
Zn1 0.125 0.125 0.258 1
Br1 0.122 0.375 0.375 1
# V (Å³/f.u.): 61.3
# E_form (uncorrected) (eV per atom): -0.189
# Energy (eV per cell): -53.2

***

Record 5
# TbSmBiSb | the Alexandria database | PBE | relaxed
data_TbSmBiSb
_cell_length_a 4.482
_cell_length_b 4.482
_cell_length_c 6.331
_cell_angle_alpha 90.00
_cell_angle_beta 90.00
_cell_angle_gamma 90.00
_symmetry_space_group_name_H-M 'P 4/m m m'
_symmetry_Int_Tables_number 123
_symmetry_space_group_name_Hall '-P 4 2'
loop_
_atom_site_label
_atom_site_fract_x
_atom_site_fract_y
_atom_site_fract_z
_atom_site_occupancy
Tb1 0.000 0.000 0.000 1
Sm1 0.500 0.500 0.500 1
Bi1 0.000 0.000 0.500 1
Sb1 0.500 0.500 0.000 1
# V (Å³/f.u.): 127.2
# E_form (uncorrected) (eV per atom): -1.026
# Energy (eV per cell): -21.5

***

Record 6
# KTeOF3 | the Alexandria database | PBE | relaxed
data_KTeOF3
_cell_length_a 6.107
_cell_length_b 4.887
_cell_length_c 7.925
_cell_angle_alpha 90.00
_cell_angle_beta 90.70
_cell_angle_gamma 90.00
_symmetry_space_group_name_H-M 'P 1 21 1'
_symmetry_Int_Tables_number 4
_symmetry_space_group_name_Hall 'P 2yb'
loop_
_atom_site_label
_atom_site_fract_x
_atom_site_fract_y
_atom_site_fract_z
_atom_site_occupancy
K1 0.241 0.000 0.134 1
Te1 0.241 0.014 0.652 1
O1 0.044 0.909 0.809 1
F1 0.091 0.834 0.444 1
F2 0.414 0.672 0.644 1
F3 0.466 0.100 0.844 1
# V (Å³/f.u.): 118.3
# Energy relative to the lowest polymorph listed for this composition (meV/atom): 56
# E_form (uncorrected) (eV per atom): -2.122
# Energy (eV per cell): -55.1